Entry 1:
Computed, not measured: a relaxed Rb2MoPbCl6 crystal at the GGA-PBE level of DFT.

Summary:
- E_form (uncorrected): -1208 meV per atom
- Crystal system: tetragonal

```
data_Rb2MoPbCl6
_symmetry_space_group_name_H-M 'I 4/m m m'
_symmetry_Int_Tables_number 139
_symmetry_space_group_name_Hall '-I 4 2'
_cell_length_a 7.6844
_cell_length_b 7.6844
_cell_length_c 10.8946
_cell_angle_alpha 90.00
_cell_angle_beta 90.00
_cell_angle_gamma 90.00
loop_
_atom_site_label
_atom_site_type_symbol
_atom_site_fract_x
_atom_site_fract_y
_atom_site_fract_z
Rb1 Rb 0.0000 0.5000 0.2500
Mo1 Mo 0.0000 0.0000 0.0000
Pb1 Pb 0.0000 0.0000 0.5000
Cl1 Cl 0.0000 0.0000 0.2339
Cl2 Cl 0.2335 0.2335 0.0000
```

Entry 2:
Computed, not measured: a relaxed Ca2NpH12Pd3 crystal at the GGA-PBE level of DFT.

Summary:
- Crystal system: trigonal
- DFT total energy: -4.24 eV per atom

```
data_Ca2NpH12Pd3
_symmetry_space_group_name_H-M 'R -3 m'
_symmetry_Int_Tables_number 166
_symmetry_space_group_name_Hall '-R 3 2"'
_cell_length_a 6.5540
_cell_length_b 6.5540
_cell_length_c 15.0821
_cell_angle_alpha 90.00
_cell_angle_beta 90.00
_cell_angle_gamma 120.00
loop_
_atom_site_label
_atom_site_type_symbol
_atom_site_fract_x
_atom_site_fract_y
_atom_site_fract_z
Ca1 Ca 0.0000 0.0000 0.1188
Np1 Np 0.0000 0.0000 0.5000
H1 H 0.0384 0.5192 0.8805
H2 H 0.0716 0.5358 0.3006
Pd1 Pd 0.0000 0.5000 0.0000
```

Entry 3:
Computed, not measured: a relaxed CePm2Nd crystal at the GGA-PBE level of DFT.

Summary:
- Crystal system: tetragonal
- Energy of formation from the pure elements: 62 meV per atom
- ΔE to the lowest computed polymorph: 0.0 meV per atom

```
data_CePm2Nd
_symmetry_space_group_name_H-M 'P 4/m m m'
_symmetry_Int_Tables_number 123
_symmetry_space_group_name_Hall '-P 4 2'
_cell_length_a 3.5847
_cell_length_b 3.5847
_cell_length_c 10.3216
_cell_angle_alpha 90.00
_cell_angle_beta 90.00
_cell_angle_gamma 90.00
loop_
_atom_site_label
_atom_site_type_symbol
_atom_site_fract_x
_atom_site_fract_y
_atom_site_fract_z
Ce1 Ce 0.0000 0.0000 0.0000
Pm1 Pm 0.5000 0.5000 0.2376
Nd1 Nd 0.0000 0.0000 0.5000
```

Entry 4:
Computed, not measured: a relaxed Ac2ThSe2N2 crystal at the GGA-PBE level of DFT.

Summary:
- E_form (uncorrected): -1644 meV per atom
- Crystal system: tetragonal

```
data_Ac2ThSe2N2
_symmetry_space_group_name_H-M 'I 4/m m m'
_symmetry_Int_Tables_number 139
_symmetry_space_group_name_Hall '-I 4 2'
_cell_length_a 4.6456
_cell_length_b 4.6456
_cell_length_c 16.0751
_cell_angle_alpha 90.00
_cell_angle_beta 90.00
_cell_angle_gamma 90.00
loop_
_atom_site_label
_atom_site_type_symbol
_atom_site_fract_x
_atom_site_fract_y
_atom_site_fract_z
Ac1 Ac 0.0000 0.0000 0.1181
Th1 Th 0.0000 0.0000 0.5000
Se1 Se 0.0000 0.0000 0.3158
N1 N 0.0000 0.5000 0.0000
```

Entry 5:
Computed, not measured: a relaxed VInAgRu2 crystal at the GGA-PBE level of DFT.

Summary:
- Crystal system: tetragonal
- Energy of formation from the pure elements: 2036 meV per atom

```
data_VInAgRu2
_symmetry_space_group_name_H-M 'P 4/m m m'
_symmetry_Int_Tables_number 123
_symmetry_space_group_name_Hall '-P 4 2'
_cell_length_a 4.8465
_cell_length_b 4.8465
_cell_length_c 4.8143
_cell_angle_alpha 90.00
_cell_angle_beta 90.00
_cell_angle_gamma 90.00
loop_
_atom_site_label
_atom_site_type_symbol
_atom_site_fract_x
_atom_site_fract_y
_atom_site_fract_z
V1 V 0.0000 0.0000 0.0000
In1 In 0.0000 0.0000 0.5000
Ag1 Ag 0.5000 0.5000 0.0000
Ru1 Ru 0.0000 0.5000 0.5000
```

Entry 6:
Computed, not measured: a relaxed AlIn2Sb crystal at the GGA-PBE level of DFT.

Summary:
- E_form (uncorrected): 190 meV per atom
- Crystal system: cubic
- ΔE to the lowest computed polymorph: 117.8 meV per atom

```
data_AlIn2Sb
_symmetry_space_group_name_H-M 'F -4 3 m'
_symmetry_Int_Tables_number 216
_symmetry_space_group_name_Hall 'F -4 2 3'
_cell_length_a 7.3800
_cell_length_b 7.3800
_cell_length_c 7.3800
_cell_angle_alpha 90.00
_cell_angle_beta 90.00
_cell_angle_gamma 90.00
loop_
_atom_site_label
_atom_site_type_symbol
_atom_site_fract_x
_atom_site_fract_y
_atom_site_fract_z
Al1 Al 0.0000 0.0000 0.0000
In1 In 0.0000 0.0000 0.5000
In2 In 0.2500 0.2500 0.7500
Sb1 Sb 0.2500 0.2500 0.2500
```

Entry 7:
Computed, not measured: a relaxed TlRuSeN2 crystal at the GGA-PBE level of DFT.

Summary:
- E_form (uncorrected): 703 meV per atom
- Crystal system: tetragonal
- ΔE to the lowest computed polymorph: 0.0 meV per atom

```
data_TlRuSeN2
_symmetry_space_group_name_H-M 'P 4/m m m'
_symmetry_Int_Tables_number 123
_symmetry_space_group_name_Hall '-P 4 2'
_cell_length_a 3.9160
_cell_length_b 3.9160
_cell_length_c 5.4390
_cell_angle_alpha 90.00
_cell_angle_beta 90.00
_cell_angle_gamma 90.00
loop_
_atom_site_label
_atom_site_type_symbol
_atom_site_fract_x
_atom_site_fract_y
_atom_site_fract_z
Tl1 Tl 0.0000 0.0000 0.0000
Ru1 Ru 0.5000 0.5000 0.5000
Se1 Se 0.5000 0.5000 0.0000
N1 N 0.0000 0.5000 0.5000
```

Entry 8:
Computed, not measured: a relaxed Na3Sn2Pb5 crystal at the GGA-PBE level of DFT.

Summary:
- Crystal system: orthorhombic
- Energy of formation from the pure elements: -30 meV per atom
- ΔE to the lowest computed polymorph: 0.0 meV per atom

```
data_Na3Sn2Pb5
_symmetry_space_group_name_H-M 'I b a m'
_symmetry_Int_Tables_number 72
_symmetry_space_group_name_Hall '-I 2 2c'
_cell_length_a 10.4703
_cell_length_b 18.4979
_cell_length_c 6.7348
_cell_angle_alpha 90.00
_cell_angle_beta 90.00
_cell_angle_gamma 90.00
loop_
_atom_site_label
_atom_site_type_symbol
_atom_site_fract_x
_atom_site_fract_y
_atom_site_fract_z
Na1 Na 0.0000 0.0000 0.2500
Na2 Na 0.2455 0.3966 0.0000
Sn1 Sn 0.2063 0.0873 0.0000
Pb1 Pb 0.0000 0.1796 0.2500
Pb2 Pb 0.0000 0.5000 0.2500
Pb3 Pb 0.0460 0.3330 0.5000
```